# 1
GGA-PBE Pr3Sm12Sc, optimized geometry; magnetic moment = 0.00 μB per formula unit; calculated total energy = -76.917 eV per formula unit; density of states at the Fermi level = 24.39 states/eV/cell
1.0
5.1259 0.0000 0.0000
0.0000 5.1259 0.0000
0.0000 0.0000 20.4626
Pr Sm Sc
3 12 1
direct
0.0000 0.0000 0.2466
0.0000 0.0000 0.5000
0.0000 0.0000 0.7534
0.5000 0.5000 0.0000
0.5000 0.5000 0.2458
0.5000 0.5000 0.5000
0.5000 0.5000 0.7542
0.5000 0.0000 0.1194
0.5000 0.0000 0.3732
0.5000 0.0000 0.6268
0.5000 0.0000 0.8806
0.0000 0.5000 0.1194
0.0000 0.5000 0.3732
0.0000 0.5000 0.6268
0.0000 0.5000 0.8806
0.0000 0.0000 0.0000

***

# 2
GGA-PBE Pr2SmSc4, optimized geometry; magnetic moment = 0.00 μB per formula unit; calculated total energy = -38.970 eV per formula unit; density of states at the Fermi level = 22.55 states/eV/cell
1.0
-8.0493 -4.3483 -2.5285
2.8128 0.1914 -7.9998
1.3309 -3.9176 7.4108
Pr Sm Sc
4 2 8
direct
0.7485 0.4756 0.9165
0.5014 0.9184 0.2279
0.6247 0.2338 0.1090
0.1252 0.6260 0.0010
0.0008 0.3355 0.1537
0.2488 0.9046 0.8362
0.8723 0.0926 0.3112
0.3584 0.5649 0.3041
0.8919 0.6929 0.7041
0.6947 0.8674 0.5477
0.2276 0.2808 0.4398
0.3776 0.1923 0.7230
0.5559 0.6035 0.6739
0.0224 0.9615 0.5518

***

# 3
GGA-PBE Pr8SmSc3, optimized geometry; magnetic moment = 0.00 μB per formula unit; calculated total energy = -57.182 eV per formula unit; density of states at the Fermi level = 18.44 states/eV/cell
1.0
7.2377 0.2890 -4.7811
-3.2863 7.9390 -1.2245
-1.5263 -0.2890 8.5389
Pr Sm Sc
8 1 3
direct
0.5115 0.2895 0.2221
0.4885 0.7106 0.7780
0.9326 0.7105 0.2220
0.0674 0.2894 0.7779
0.1663 0.4193 0.2535
0.8337 0.0872 0.2530
0.8342 0.5807 0.7470
0.1658 0.9128 0.7465
0.0000 0.0000 0.0000
0.5000 0.7097 0.2097
0.5000 0.2903 0.7903
0.0000 0.5000 0.5000

***

# 4
GGA-PBE Pr7Sm12Sc, optimized geometry; magnetic moment = 0.00 μB per formula unit; calculated total energy = -91.770 eV per formula unit; energy relative to the lowest polymorph listed for this composition = 0.0000 eV/atom; density of states at the Fermi level = 31.27 states/eV/cell
1.0
-8.2526 0.1648 -3.2481
3.3656 -3.0966 -7.6004
-1.0394 -8.1535 3.3351
Pr Sm Sc
7 12 1
direct
0.8840 0.6354 0.9531
0.3646 0.0469 0.1160
0.0469 0.1160 0.3646
0.5000 0.5000 0.5000
0.9531 0.8840 0.6354
0.6354 0.9531 0.8840
0.1160 0.3646 0.0469
0.8583 0.2591 0.7094
0.7409 0.2906 0.1417
0.5523 0.1606 0.4518
0.8394 0.5482 0.4477
0.2906 0.1417 0.7409
0.5482 0.4477 0.8394
0.4518 0.5523 0.1606
0.7094 0.8583 0.2591
0.1606 0.4518 0.5523
0.4477 0.8394 0.5482
0.2591 0.7094 0.8583
0.1417 0.7409 0.2906
0.0000 0.0000 0.0000

***

Look up the density of states at the Fermi level of the third one. 18.44 states/eV/cell

***

Which value of density of states at the Fermi level does entry 4 give? 31.27 states/eV/cell